# 1
VASP calculation (PBE) on a relaxed Re2TcBr crystal.

Cell: 2.9230 3.7457 7.1944 Å, 90.00 90.00 90.00°
Atoms (fractional coordinates):
Re (0.0000, 0.0000, 0.0000)
Re (0.5000, 0.5000, 0.1440)
Tc (0.0000, 0.0000, 0.3428)
Br (0.5000, 0.5000, 0.5680)

## Properties
SG = Pmm2 (25)
E above lowest polymorph = 1.00 eV per formula unit
Fermi-level density of states = 3.042 states/eV per cell
crystal system = orthorhombic

# 2
VASP calculation (PBE) on a relaxed Mg3ReO crystal.

Cell: 4.2036 4.2036 4.2036 Å, 90.00 90.00 90.00°
Atoms (fractional coordinates):
Mg (0.0000, 0.0000, 0.5000)
Mg (0.0000, 0.5000, 0.0000)
Mg (0.5000, 0.0000, 0.0000)
Re (0.5000, 0.5000, 0.5000)
O (0.0000, 0.0000, 0.0000)

## Properties
SG = Pm-3m (221)
E above lowest polymorph = 0.00 eV per formula unit
Fermi-level density of states = 5.752 states/eV per cell
crystal system = cubic

# 3
VASP calculation (PBE) on a relaxed Ac2MgRuO6 crystal.

Cell: 5.6813 5.6813 5.6813 Å, 60.00 60.00 60.00°
Atoms (fractional coordinates):
Ac (0.2500, 0.2500, 0.2500)
Ac (0.7500, 0.7500, 0.7500)
Mg (0.0000, 0.0000, 0.0000)
Ru (0.5000, 0.5000, 0.5000)
O (0.2516, 0.2516, 0.7484)
O (0.2516, 0.7484, 0.2516)
O (0.2516, 0.7484, 0.7484)
O (0.7484, 0.2516, 0.2516)
O (0.7484, 0.2516, 0.7484)
O (0.7484, 0.7484, 0.2516)

## Properties
SG = Fm-3m (225)
electronic total energy = -74.27 eV per cell
Fermi-level density of states = 3.815 states/eV per cell
crystal system = cubic

# 4
VASP calculation (PBE) on a relaxed Pm2Sm5Pd4 crystal.

Cell: 12.7244 12.7244 6.9339 Å, 91.98 91.98 16.48°
Atoms (fractional coordinates):
Pm (0.0917, 0.0917, 0.1643)
Pm (0.9083, 0.9083, 0.8357)
Sm (0.1335, 0.1335, 0.6760)
Sm (0.2338, 0.2338, 0.2497)
Sm (0.5000, 0.5000, 0.5000)
Sm (0.7662, 0.7662, 0.7503)
Sm (0.8665, 0.8665, 0.3240)
Pd (0.0254, 0.0254, 0.8150)
Pd (0.3282, 0.3282, 0.0137)
Pd (0.6718, 0.6718, 0.9863)
Pd (0.9746, 0.9746, 0.1850)

## Properties
SG = C2/m (12)
ΔH_f (0 K) = -0.358 eV per atom
Fermi-level density of states = 11.674 states/eV per cell
crystal system = monoclinic